Below is KTa2Be after structural relaxation, with properties calculated at the PBE-GGA level.

Structure (CIF):
```
data_KTa2Be
_chemical_formula_sum 'K1 Ta2 Be1'
_cell_length_a 6.237
_cell_length_b 6.237
_cell_length_c 2.683
_cell_angle_alpha 79.68
_cell_angle_beta 79.68
_cell_angle_gamma 123.73
_symmetry_space_group_name_H-M 'P 1'
_symmetry_Int_Tables_number 1
loop_
_symmetry_equiv_pos_as_xyz
'x,y,z'
loop_
_atom_site_label
_atom_site_type_symbol
_atom_site_fract_x
_atom_site_fract_y
_atom_site_fract_z
_atom_site_occupancy
Be1 Be 0.500 0.000 0.500 1
K1 K 0.000 0.500 0.500 1
Ta1 Ta 0.000 0.000 0.000 1
Ta2 Ta 0.500 0.500 0.000 1
```

**Calculated total energy**: -5.80 eV/atom
**Formation enthalpy at 0 K**: 1.33 eV per atom
**DOS(E_F)**: 4.34 states/eV/f.u.
**SG**: C2/m, No. 12